Record 1
CdIn2Ga2 | GGA-PBE | optimized geometry

Output
D(E_F) ... 0.471 states/eV/atom
Energy of formation ... 0.11 eV/atom
Total energy ... -0.088 hartree per atom

a = 6.7902 Å, b = 6.7902 Å, c = 6.7902 Å
α = 140.74°, β = 140.74°, γ = 56.73°
Fractional coordinates of all 5 atoms:
Cd (0.0000, 0.0000, 0.0000)
In (0.2500, 0.7500, 0.5000)
In (0.7500, 0.2500, 0.5000)
Ga (0.3964, 0.3964, 0.0000)
Ga (0.6036, 0.6036, 0.0000)

---

Record 2
Cd8InGa2 | GGA-PBE | optimized geometry

Output
D(E_F) ... 0.197 states/eV/atom
Distance to the lowest polymorph of the same formula ... 0.0 meV/atom
Energy of formation ... 0.08 eV/atom
Total energy ... -0.051 hartree per atom

a = 7.6908 Å, b = 7.6908 Å, c = 5.8835 Å
α = 109.32°, β = 109.32°, γ = 111.46°
Fractional coordinates of all 11 atoms:
Cd (0.0847, 0.3182, 0.5866)
Cd (0.2342, 0.7658, 0.0000)
Cd (0.3182, 0.0847, 0.5866)
Cd (0.4031, 0.4031, 0.1619)
Cd (0.5969, 0.5969, 0.8381)
Cd (0.6818, 0.9153, 0.4134)
Cd (0.7658, 0.2342, 0.0000)
Cd (0.9153, 0.6818, 0.4134)
In (0.0000, 0.0000, 0.0000)
Ga (0.3091, 0.6909, 0.5000)
Ga (0.6909, 0.3091, 0.5000)

---

Record 3
Cd2In5Ga4 | GGA-PBE | optimized geometry

Output
D(E_F) ... 0.222 states/eV/atom
Distance to the lowest polymorph of the same formula ... 9.6 meV/atom
Energy of formation ... 0.08 eV/atom
Total energy ... -0.089 hartree per atom

a = 9.4812 Å, b = 9.4812 Å, c = 9.4812 Å
α = 159.21°, β = 116.53°, γ = 67.57°
Fractional coordinates of all 11 atoms:
Cd (0.1690, 0.1690, 0.0000)
Cd (0.8310, 0.8310, 0.0000)
In (0.0000, 0.5000, 0.5000)
In (0.1412, 0.8160, 0.3252)
In (0.4909, 0.8160, 0.6748)
In (0.5091, 0.1840, 0.3252)
In (0.8588, 0.1840, 0.6748)
Ga (0.2588, 0.0000, 0.2588)
Ga (0.4198, 0.4198, 0.0000)
Ga (0.5802, 0.5802, 0.0000)
Ga (0.7412, 0.0000, 0.7412)

---

Record 4
Cd2In4Ga | GGA-PBE | optimized geometry

Output
D(E_F) ... 0.447 states/eV/atom
Distance to the lowest polymorph of the same formula ... 52.5 meV/atom
Energy of formation ... 0.10 eV/atom
Total energy ... -0.079 hartree per atom

a = 6.3775 Å, b = 6.3775 Å, c = 6.3775 Å
α = 101.02°, β = 101.02°, γ = 128.15°
Fractional coordinates of all 7 atoms:
Cd (0.2500, 0.7500, 0.5000)
Cd (0.7500, 0.2500, 0.5000)
In (0.1928, 0.1928, 0.3856)
In (0.1928, 0.8072, 0.0000)
In (0.8072, 0.1928, 0.0000)
In (0.8072, 0.8072, 0.6144)
Ga (0.5000, 0.5000, 0.0000)

---

Record 5
CdInGa | GGA-PBE | optimized geometry

Output
D(E_F) ... 0.451 states/eV/atom
Energy of formation ... 0.07 eV/atom
Total energy ... -0.079 hartree per atom

a = 3.5464 Å, b = 3.5464 Å, c = 6.4729 Å
α = 90.00°, β = 90.00°, γ = 120.00°
Fractional coordinates of all 3 atoms:
Cd (0.0000, 0.0000, 0.0000)
In (0.3333, 0.6667, 0.6376)
Ga (0.6667, 0.3333, 0.3155)

---

Record 6
Cd3In12Ga5 | GGA-PBE | optimized geometry

Output
D(E_F) ... 0.540 states/eV/atom
Energy of formation ... 0.14 eV/atom
Total energy ... -0.088 hartree per atom

a = 14.3345 Å, b = 14.3345 Å, c = 14.3345 Å
α = 109.47°, β = 109.47°, γ = 109.47°
Fractional coordinates of all 80 atoms:
Cd (0.1250, 0.2500, 0.3750)
Cd (0.1250, 0.3750, 0.7500)
Cd (0.2500, 0.3750, 0.1250)
Cd (0.2500, 0.8750, 0.6250)
Cd (0.3750, 0.1250, 0.2500)
Cd (0.3750, 0.7500, 0.1250)
Cd (0.6250, 0.2500, 0.8750)
Cd (0.6250, 0.8750, 0.7500)
Cd (0.7500, 0.1250, 0.3750)
Cd (0.7500, 0.6250, 0.8750)
Cd (0.8750, 0.6250, 0.2500)
Cd (0.8750, 0.7500, 0.6250)
In (0.0524, 0.2246, 0.1242)
In (0.0524, 0.3278, 0.9282)
In (0.0718, 0.6242, 0.3996)
In (0.0718, 0.9476, 0.6722)
In (0.1004, 0.7246, 0.6722)
In (0.1004, 0.8758, 0.4282)
In (0.1242, 0.0524, 0.2246)
In (0.1242, 0.5718, 0.8996)
In (0.1722, 0.2246, 0.6004)
In (0.1722, 0.4476, 0.5718)
In (0.2246, 0.1242, 0.0524)
In (0.2246, 0.6004, 0.1722)
In (0.2754, 0.3278, 0.8996)
In (0.2754, 0.4476, 0.3758)
In (0.3278, 0.8996, 0.2754)
In (0.3278, 0.9282, 0.0524)
In (0.3758, 0.2754, 0.4476)
In (0.3758, 0.6004, 0.9282)
In (0.3996, 0.0718, 0.6242)
In (0.3996, 0.8278, 0.7754)
In (0.4282, 0.1004, 0.8758)
In (0.4282, 0.8278, 0.5524)
In (0.4476, 0.3758, 0.2754)
In (0.4476, 0.5718, 0.1722)
In (0.5524, 0.4282, 0.8278)
In (0.5524, 0.6242, 0.7246)
In (0.5718, 0.1722, 0.4476)
In (0.5718, 0.8996, 0.1242)
In (0.6004, 0.1722, 0.2246)
In (0.6004, 0.9282, 0.3758)
In (0.6242, 0.3996, 0.0718)
In (0.6242, 0.7246, 0.5524)
In (0.6722, 0.0718, 0.9476)
In (0.6722, 0.1004, 0.7246)
In (0.7246, 0.5524, 0.6242)
In (0.7246, 0.6722, 0.1004)
In (0.7754, 0.3996, 0.8278)
In (0.7754, 0.8758, 0.9476)
In (0.8278, 0.5524, 0.4282)
In (0.8278, 0.7754, 0.3996)
In (0.8758, 0.4282, 0.1004)
In (0.8758, 0.9476, 0.7754)
In (0.8996, 0.1242, 0.5718)
In (0.8996, 0.2754, 0.3278)
In (0.9282, 0.0524, 0.3278)
In (0.9282, 0.3758, 0.6004)
In (0.9476, 0.6722, 0.0718)
In (0.9476, 0.7754, 0.8758)
Ga (0.0000, 0.0000, 0.0000)
Ga (0.0000, 0.0000, 0.5000)
Ga (0.0000, 0.5000, 0.0000)
Ga (0.0000, 0.5000, 0.5000)
Ga (0.1250, 0.7500, 0.8750)
Ga (0.1250, 0.8750, 0.2500)
Ga (0.2500, 0.1250, 0.8750)
Ga (0.2500, 0.6250, 0.3750)
Ga (0.3750, 0.2500, 0.6250)
Ga (0.3750, 0.6250, 0.7500)
Ga (0.5000, 0.0000, 0.0000)
Ga (0.5000, 0.0000, 0.5000)
Ga (0.5000, 0.5000, 0.0000)
Ga (0.5000, 0.5000, 0.5000)
Ga (0.6250, 0.3750, 0.2500)
Ga (0.6250, 0.7500, 0.3750)
Ga (0.7500, 0.3750, 0.6250)
Ga (0.7500, 0.8750, 0.1250)
Ga (0.8750, 0.1250, 0.7500)
Ga (0.8750, 0.2500, 0.1250)

---

Record 7
Cd2In4Ga | GGA-PBE | optimized geometry

Output
D(E_F) ... 0.439 states/eV/atom
Distance to the lowest polymorph of the same formula ... 0.0 meV/atom
Energy of formation ... 0.04 eV/atom
Total energy ... -0.081 hartree per atom

a = 18.4812 Å, b = 18.4812 Å, c = 18.4812 Å
α = 10.26°, β = 10.26°, γ = 10.26°
Fractional coordinates of all 7 atoms:
Cd (0.0726, 0.0726, 0.0726)
Cd (0.9274, 0.9274, 0.9274)
In (0.2128, 0.2128, 0.2128)
In (0.3581, 0.3581, 0.3581)
In (0.6419, 0.6419, 0.6419)
In (0.7872, 0.7872, 0.7872)
Ga (0.5000, 0.5000, 0.5000)

---

Record 8
Cd4InGa2 | GGA-PBE | optimized geometry

Output
D(E_F) ... 0.393 states/eV/atom
Energy of formation ... 0.06 eV/atom
Total energy ... -0.063 hartree per atom

a = 8.6140 Å, b = 8.6140 Å, c = 4.3101 Å
α = 90.00°, β = 90.00°, γ = 149.33°
Fractional coordinates of all 7 atoms:
Cd (0.1741, 0.8259, 0.0000)
Cd (0.3131, 0.6869, 0.5000)
Cd (0.6869, 0.3131, 0.5000)
Cd (0.8259, 0.1741, 0.0000)
In (0.0000, 0.0000, 0.5000)
Ga (0.4248, 0.5752, 0.0000)
Ga (0.5752, 0.4248, 0.0000)

---

Record 9
Cd4In5Ga | GGA-PBE | optimized geometry

Output
D(E_F) ... 0.486 states/eV/atom
Energy of formation ... 0.03 eV/atom
Total energy ... -0.074 hartree per atom

a = 3.2571 Å, b = 3.2571 Å, c = 23.4288 Å
α = 90.00°, β = 90.00°, γ = 90.00°
Fractional coordinates of all 10 atoms:
Cd (0.0000, 0.0000, 0.1004)
Cd (0.0000, 0.0000, 0.3016)
Cd (0.0000, 0.0000, 0.6984)
Cd (0.0000, 0.0000, 0.8996)
In (0.5000, 0.5000, 0.0000)
In (0.5000, 0.5000, 0.2009)
In (0.5000, 0.5000, 0.4036)
In (0.5000, 0.5000, 0.5964)
In (0.5000, 0.5000, 0.7991)
Ga (0.0000, 0.0000, 0.5000)

---

Record 10
Cd2InGa6 | GGA-PBE | optimized geometry

Output
D(E_F) ... 0.450 states/eV/atom
Distance to the lowest polymorph of the same formula ... 12.6 meV/atom
Energy of formation ... 0.07 eV/atom
Total energy ... -0.090 hartree per atom

a = 8.6575 Å, b = 8.6575 Å, c = 2.9388 Å
α = 90.00°, β = 90.00°, γ = 120.00°
Fractional coordinates of all 9 atoms:
Cd (0.3333, 0.6667, 0.0000)
Cd (0.6667, 0.3333, 0.0000)
In (0.0000, 0.0000, 0.5000)
Ga (0.0000, 0.3414, 0.5855)
Ga (0.0000, 0.6586, 0.4145)
Ga (0.3414, 0.0000, 0.5855)
Ga (0.3414, 0.3414, 0.4145)
Ga (0.6586, 0.0000, 0.4145)
Ga (0.6586, 0.6586, 0.5855)

---

Record 11
CdInGa | GGA-PBE | optimized geometry

Output
D(E_F) ... 0.386 states/eV/atom
Energy of formation ... 0.05 eV/atom
Total energy ... -0.080 hartree per atom

a = 3.0768 Å, b = 4.2736 Å, c = 10.6147 Å
α = 90.03°, β = 91.80°, γ = 90.00°
Fractional coordinates of all 6 atoms:
Cd (0.0000, 0.0000, 0.0000)
Cd (0.0040, 0.9994, 0.3617)
In (0.4961, 0.4996, 0.8201)
In (0.5022, 0.5000, 0.1819)
Ga (0.0004, 0.9988, 0.6518)
Ga (0.4994, 0.4987, 0.5194)

---

Record 12
CdInGa | GGA-PBE | optimized geometry

Output
D(E_F) ... 0.390 states/eV/atom
Energy of formation ... 0.05 eV/atom
Total energy ... -0.080 hartree per atom

a = 5.5653 Å, b = 5.5653 Å, c = 6.4650 Å
α = 105.94°, β = 105.94°, γ = 46.33°
Fractional coordinates of all 6 atoms:
Cd (0.0000, 0.0000, 0.0000)
Cd (0.6712, 0.6712, 0.8450)
In (0.3379, 0.3379, 0.1832)
In (0.6687, 0.6687, 0.3643)
Ga (0.0045, 0.0045, 0.5279)
Ga (0.3445, 0.3445, 0.6778)

---

Record 13
Cd3In6Ga2 | GGA-PBE | optimized geometry

Output
D(E_F) ... 0.368 states/eV/atom
Energy of formation ... 0.04 eV/atom
Total energy ... -0.083 hartree per atom

a = 29.0094 Å, b = 29.0094 Å, c = 29.0094 Å
α = 6.48°, β = 6.48°, γ = 6.48°
Fractional coordinates of all 11 atoms:
Cd (0.0000, 0.0000, 0.0000)
Cd (0.2724, 0.2724, 0.2724)
Cd (0.7276, 0.7276, 0.7276)
In (0.0918, 0.0918, 0.0918)
In (0.1831, 0.1831, 0.1831)
In (0.3639, 0.3639, 0.3639)
In (0.6361, 0.6361, 0.6361)
In (0.8169, 0.8169, 0.8169)
In (0.9082, 0.9082, 0.9082)
Ga (0.4543, 0.4543, 0.4543)
Ga (0.5457, 0.5457, 0.5457)

---

Record 14
Cd2In2Ga | GGA-PBE | optimized geometry

Output
D(E_F) ... 0.506 states/eV/atom
Distance to the lowest polymorph of the same formula ... 62.3 meV/atom
Energy of formation ... 0.11 eV/atom
Total energy ... -0.072 hartree per atom

a = 7.5226 Å, b = 7.5226 Å, c = 4.4760 Å
α = 90.00°, β = 90.00°, γ = 90.00°
Fractional coordinates of all 10 atoms:
Cd (0.1386, 0.3614, 0.0000)
Cd (0.3614, 0.8614, 0.0000)
Cd (0.6386, 0.1386, 0.0000)
Cd (0.8614, 0.6386, 0.0000)
In (0.1684, 0.6684, 0.5000)
In (0.3316, 0.1684, 0.5000)
In (0.6684, 0.8316, 0.5000)
In (0.8316, 0.3316, 0.5000)
Ga (0.0000, 0.0000, 0.0000)
Ga (0.5000, 0.5000, 0.0000)

---

Record 15
Cd7In4Ga | GGA-PBE | optimized geometry

Output
D(E_F) ... 0.341 states/eV/atom
Energy of formation ... 0.03 eV/atom
Total energy ... -0.061 hartree per atom

a = 3.3268 Å, b = 3.3268 Å, c = 29.8988 Å
α = 90.00°, β = 90.00°, γ = 120.00°
Fractional coordinates of all 12 atoms:
Cd (0.0000, 0.0000, 0.0000)
Cd (0.0000, 0.0000, 0.2528)
Cd (0.0000, 0.0000, 0.7472)
Cd (0.3333, 0.6667, 0.1709)
Cd (0.3333, 0.6667, 0.4240)
Cd (0.6667, 0.3333, 0.5760)
Cd (0.6667, 0.3333, 0.8291)
In (0.3333, 0.6667, 0.6617)
In (0.3333, 0.6667, 0.9147)
In (0.6667, 0.3333, 0.0853)
In (0.6667, 0.3333, 0.3383)
Ga (0.0000, 0.0000, 0.5000)

---

Record 16
CdIn3Ga2 | GGA-PBE | optimized geometry

Output
D(E_F) ... 0.353 states/eV/atom
Energy of formation ... 0.06 eV/atom
Total energy ... -0.091 hartree per atom

a = 7.8536 Å, b = 7.8536 Å, c = 9.4355 Å
α = 115.12°, β = 115.12°, γ = 34.45°
Fractional coordinates of all 12 atoms:
Cd (0.1192, 0.1192, 0.0921)
Cd (0.8808, 0.8808, 0.9079)
In (0.0079, 0.0079, 0.6681)
In (0.3287, 0.3287, 0.4883)
In (0.3304, 0.3304, 0.1123)
In (0.6696, 0.6696, 0.8877)
In (0.6713, 0.6713, 0.5117)
In (0.9921, 0.9921, 0.3319)
Ga (0.2378, 0.2378, 0.7324)
Ga (0.4606, 0.4606, 0.8339)
Ga (0.5394, 0.5394, 0.1661)
Ga (0.7622, 0.7622, 0.2676)

---

Record 17
Cd4In2Ga3 | GGA-PBE | optimized geometry

Output
D(E_F) ... 0.325 states/eV/atom
Energy of formation ... 0.06 eV/atom
Total energy ... -0.072 hartree per atom

a = 3.1196 Å, b = 3.1196 Å, c = 24.3455 Å
α = 90.00°, β = 90.00°, γ = 120.00°
Fractional coordinates of all 9 atoms:
Cd (0.0000, 0.0000, 0.0000)
Cd (0.0000, 0.0000, 0.2104)
Cd (0.6667, 0.3333, 0.6756)
Cd (0.6667, 0.3333, 0.8897)
In (0.0000, 0.0000, 0.3369)
In (0.0000, 0.0000, 0.5550)
Ga (0.0000, 0.0000, 0.7832)
Ga (0.6667, 0.3333, 0.1047)
Ga (0.6667, 0.3333, 0.4447)

---

Record 18
CdInGa3 | GGA-PBE | optimized geometry

Output
D(E_F) ... 0.691 states/eV/atom
Distance to the lowest polymorph of the same formula ... 366.8 meV/atom
Energy of formation ... 0.42 eV/atom
Total energy ... -0.078 hartree per atom

a = 5.2022 Å, b = 5.2022 Å, c = 5.2022 Å
α = 90.00°, β = 90.00°, γ = 90.00°
Fractional coordinates of all 5 atoms:
Cd (0.0000, 0.0000, 0.0000)
In (0.5000, 0.5000, 0.5000)
Ga (0.0000, 0.0000, 0.5000)
Ga (0.0000, 0.5000, 0.0000)
Ga (0.5000, 0.0000, 0.0000)

---

Record 19
Cd3In2Ga2 | GGA-PBE | optimized geometry

Output
D(E_F) ... 0.247 states/eV/atom
Energy of formation ... 0.04 eV/atom
Total energy ... -0.074 hartree per atom

a = 5.5542 Å, b = 5.5542 Å, c = 7.1943 Å
α = 95.23°, β = 95.23°, γ = 48.15°
Fractional coordinates of all 7 atoms:
Cd (0.0000, 0.0000, 0.0000)
Cd (0.3053, 0.3053, 0.1355)
Cd (0.6947, 0.6947, 0.8645)
In (0.3819, 0.3819, 0.6638)
In (0.6181, 0.6181, 0.3362)
Ga (0.0944, 0.0944, 0.6375)
Ga (0.9056, 0.9056, 0.3625)

---

Record 20
Cd5In4Ga2 | GGA-PBE | optimized geometry

Output
D(E_F) ... 0.355 states/eV/atom
Energy of formation ... 0.05 eV/atom
Total energy ... -0.070 hartree per atom

a = 7.9898 Å, b = 3.4846 Å, c = 9.6718 Å
α = 90.00°, β = 95.37°, γ = 90.00°
Fractional coordinates of all 11 atoms:
Cd (0.0000, 0.0000, 0.0000)
Cd (0.0615, 0.0000, 0.3016)
Cd (0.3087, 0.0000, 0.8338)
Cd (0.6913, 0.0000, 0.1662)
Cd (0.9385, 0.0000, 0.6984)
In (0.2166, 0.5000, 0.5559)
In (0.3344, 0.5000, 0.1127)
In (0.6656, 0.5000, 0.8873)
In (0.7834, 0.5000, 0.4441)
Ga (0.4326, 0.0000, 0.3669)
Ga (0.5674, 0.0000, 0.6331)